1.
{"formula": "KBaTbTe3", "functional": "PBE-GGA", "state": "optimized geometry", "lattice_angstrom": [[2.431, -7.811, 0.000], [2.431, 7.811, 0.000], [0.000, 0.000, 11.946]], "species": ["K", "K", "Ba", "Ba", "Tb", "Tb", "Te", "Te", "Te", "Te", "Te", "Te"], "frac_coords": [[0.030, 0.970, 0.750], [0.970, 0.030, 0.250], [0.247, 0.753, 0.250], [0.753, 0.247, 0.750], [0.500, 0.500, 0.000], [0.500, 0.500, 0.500], [0.137, 0.863, 0.528], [0.137, 0.863, 0.972], [0.408, 0.592, 0.750], [0.592, 0.408, 0.250], [0.863, 0.137, 0.028], [0.863, 0.137, 0.472]], "m_tot_mub_per_cell": 0.003, "sg": "Cmcm"}

=====

2.
{"formula": "KBaTbTe3", "functional": "PBE-GGA", "state": "optimized geometry", "lattice_angstrom": [[9.160, 0.000, 0.000], [0.000, 4.834, 0.000], [-3.607, 0.000, 10.138]], "species": ["K", "K", "Ba", "Ba", "Tb", "Tb", "Te", "Te", "Te", "Te", "Te", "Te"], "frac_coords": [[0.098, 0.250, 0.078], [0.902, 0.750, 0.922], [0.266, 0.250, 0.768], [0.734, 0.750, 0.232], [0.311, 0.750, 0.356], [0.689, 0.250, 0.644], [0.089, 0.250, 0.376], [0.313, 0.750, 0.040], [0.468, 0.750, 0.650], [0.532, 0.250, 0.350], [0.687, 0.250, 0.960], [0.911, 0.750, 0.624]], "m_tot_mub_per_cell": 0.003, "sg": "P2_1/m"}

=====

It is 2 that is most stable; the runner-up trails by 65 meV per atom.

=====

1.
{"formula": "BaLa3Os", "functional": "PBE-GGA", "state": "optimized geometry", "lattice_angstrom": [[5.791, 0.000, 0.000], [0.000, 5.791, 0.000], [0.000, 0.000, 5.791]], "species": ["Ba", "La", "La", "La", "Os"], "frac_coords": [[0.000, 0.000, 0.000], [0.000, 0.500, 0.500], [0.500, 0.000, 0.500], [0.500, 0.500, 0.000], [0.500, 0.500, 0.500]], "m_tot_mub_per_cell": 0.004, "sg": "Pm-3m"}

=====

2.
{"formula": "BaLa3Os", "functional": "PBE-GGA", "state": "optimized geometry", "lattice_angstrom": [[6.379, 0.000, 0.000], [0.000, 8.465, 0.000], [0.000, 0.000, 7.120]], "species": ["Ba", "Ba", "La", "La", "La", "La", "La", "La", "Os", "Os"], "frac_coords": [[0.250, 0.000, 0.181], [0.750, 0.000, 0.819], [0.250, 0.259, 0.667], [0.250, 0.500, 0.166], [0.250, 0.741, 0.667], [0.750, 0.259, 0.333], [0.750, 0.500, 0.834], [0.750, 0.741, 0.333], [0.000, 0.500, 0.500], [0.500, 0.500, 0.500]], "m_tot_mub_per_cell": 0.246, "sg": "Pmma"}

=====

It is 2 that is most stable; the runner-up trails by 34 meV per atom.

=====

1.
{"formula": "BaLiNiSb", "functional": "PBE-GGA", "state": "optimized geometry", "lattice_angstrom": [[0.000, 3.639, 3.639], [3.639, 0.000, 3.639], [3.639, 3.639, 0.000]], "species": ["Ba", "Li", "Ni", "Sb"], "frac_coords": [[0.000, 0.000, 0.000], [0.250, 0.250, 0.250], [0.500, 0.500, 0.500], [0.750, 0.750, 0.750]], "m_tot_mub_per_cell": 0.001, "sg": "F-43m"}

=====

2.
{"formula": "BaLiNiSb", "functional": "PBE-GGA", "state": "optimized geometry", "lattice_angstrom": [[0.000, 3.764, 3.764], [3.764, 0.000, 3.764], [3.764, 3.764, 0.000]], "species": ["Ba", "Li", "Ni", "Sb"], "frac_coords": [[0.000, 0.000, 0.000], [0.500, 0.500, 0.500], [0.750, 0.750, 0.750], [0.250, 0.250, 0.250]], "m_tot_mub_per_cell": 0.772, "sg": "F-43m"}

=====

It is 1 that is most stable; the runner-up trails by 53 meV per atom.

=====

1.
{"formula": "BaLiTaNi", "functional": "PBE-GGA", "state": "optimized geometry", "lattice_angstrom": [[0.000, 3.423, 3.423], [3.423, 0.000, 3.423], [3.423, 3.423, 0.000]], "species": ["Ba", "Li", "Ta", "Ni"], "frac_coords": [[0.000, 0.000, 0.000], [0.500, 0.500, 0.500], [0.250, 0.250, 0.250], [0.750, 0.750, 0.750]], "m_tot_mub_per_cell": 0.002, "sg": "F-43m"}

=====

2.
{"formula": "BaLiTaNi", "functional": "PBE-GGA", "state": "optimized geometry", "lattice_angstrom": [[0.000, 3.388, 3.388], [3.388, 0.000, 3.388], [3.388, 3.388, 0.000]], "species": ["Ba", "Li", "Ta", "Ni"], "frac_coords": [[0.000, 0.000, 0.000], [0.250, 0.250, 0.250], [0.750, 0.750, 0.750], [0.500, 0.500, 0.500]], "m_tot_mub_per_cell": 0.000, "sg": "F-43m"}

=====

3.
{"formula": "BaLiTaNi", "functional": "PBE-GGA", "state": "optimized geometry", "lattice_angstrom": [[0.000, 3.482, 3.482], [3.482, 0.000, 3.482], [3.482, 3.482, 0.000]], "species": ["Ba", "Li", "Ta", "Ni"], "frac_coords": [[0.000, 0.000, 0.000], [0.750, 0.750, 0.750], [0.500, 0.500, 0.500], [0.250, 0.250, 0.250]], "m_tot_mub_per_cell": 1.870, "sg": "F-43m"}

=====

It is 2 that is most stable; the runner-up trails by 47 meV per atom.

=====

1.
{"formula": "BaLiReOs", "functional": "PBE-GGA", "state": "optimized geometry", "lattice_angstrom": [[0.000, 3.340, 3.340], [3.340, 0.000, 3.340], [3.340, 3.340, 0.000]], "species": ["Ba", "Li", "Re", "Os"], "frac_coords": [[0.000, 0.000, 0.000], [0.750, 0.750, 0.750], [0.250, 0.250, 0.250], [0.500, 0.500, 0.500]], "m_tot_mub_per_cell": 0.002, "sg": "F-43m"}

=====

2.
{"formula": "BaLiReOs", "functional": "PBE-GGA", "state": "optimized geometry", "lattice_angstrom": [[0.000, 3.373, 3.373], [3.373, 0.000, 3.373], [3.373, 3.373, 0.000]], "species": ["Ba", "Li", "Re", "Os"], "frac_coords": [[0.000, 0.000, 0.000], [0.250, 0.250, 0.250], [0.500, 0.500, 0.500], [0.750, 0.750, 0.750]], "m_tot_mub_per_cell": 0.491, "sg": "F-43m"}

=====

It is 1 that is most stable; the runner-up trails by 106 meV per atom.

=====

1.
{"formula": "BaLiSbPd", "functional": "PBE-GGA", "state": "optimized geometry", "lattice_angstrom": [[0.000, 3.795, 3.795], [3.795, 0.000, 3.795], [3.795, 3.795, 0.000]], "species": ["Ba", "Li", "Sb", "Pd"], "frac_coords": [[0.000, 0.000, 0.000], [0.500, 0.500, 0.500], [0.250, 0.250, 0.250], [0.750, 0.750, 0.750]], "sg": "F-43m"}

=====

2.
{"formula": "BaLiSbPd", "functional": "PBE-GGA", "state": "optimized geometry", "lattice_angstrom": [[0.000, 3.683, 3.683], [3.683, 0.000, 3.683], [3.683, 3.683, 0.000]], "species": ["Ba", "Li", "Sb", "Pd"], "frac_coords": [[0.000, 0.000, 0.000], [0.250, 0.250, 0.250], [0.750, 0.750, 0.750], [0.500, 0.500, 0.500]], "sg": "F-43m"}

=====

3.
{"formula": "BaLiSbPd", "functional": "PBE-GGA", "state": "optimized geometry", "lattice_angstrom": [[0.000, 3.624, 3.624], [3.624, 0.000, 3.624], [3.624, 3.624, 0.000]], "species": ["Ba", "Li", "Sb", "Pd"], "frac_coords": [[0.000, 0.000, 0.000], [0.750, 0.750, 0.750], [0.500, 0.500, 0.500], [0.250, 0.250, 0.250]], "sg": "F-43m"}

=====

It is 3 that is most stable; the runner-up trails by 161 meV per atom.

=====

1.
{"formula": "BaLiPu", "functional": "PBE-GGA", "state": "optimized geometry", "lattice_angstrom": [[0.000, 3.897, 3.897], [3.897, 0.000, 3.897], [3.897, 3.897, 0.000]], "species": ["Ba", "Li", "Pu"], "frac_coords": [[0.000, 0.000, 0.000], [0.250, 0.250, 0.250], [0.500, 0.500, 0.500]], "m_tot_mub_per_cell": 6.915, "sg": "F-43m"}

=====

2.
{"formula": "BaLiPu", "functional": "PBE-GGA", "state": "optimized geometry", "lattice_angstrom": [[0.000, 3.710, 3.710], [3.710, 0.000, 3.710], [3.710, 3.710, 0.000]], "species": ["Ba", "Li", "Pu"], "frac_coords": [[0.000, 0.000, 0.000], [0.750, 0.750, 0.750], [0.250, 0.250, 0.250]], "m_tot_mub_per_cell": 7.130, "sg": "F-43m"}

=====

It is 1 that is most stable; the runner-up trails by 296 meV per atom.

=====

1.
{"formula": "BaLiTbS3", "functional": "PBE-GGA", "state": "optimized geometry", "lattice_angstrom": [[8.541, 0.000, 0.000], [0.000, 4.093, 0.000], [-2.310, 0.000, 8.608]], "species": ["Ba", "Ba", "Li", "Li", "Tb", "Tb", "S", "S", "S", "S", "S", "S"], "frac_coords": [[0.194, 0.250, 0.243], [0.806, 0.750, 0.757], [0.086, 0.250, 0.592], [0.914, 0.750, 0.408], [0.329, 0.750, 0.840], [0.671, 0.250, 0.160], [0.118, 0.250, 0.866], [0.204, 0.750, 0.525], [0.449, 0.750, 0.161], [0.551, 0.250, 0.839], [0.796, 0.250, 0.475], [0.882, 0.750, 0.134]], "m_tot_mub_per_cell": 0.005, "sg": "P2_1/m"}

=====

2.
{"formula": "BaLiTbS3", "functional": "PBE-GGA", "state": "optimized geometry", "lattice_angstrom": [[2.046, -6.804, 0.000], [2.046, 6.804, 0.000], [0.000, 0.000, 10.321]], "species": ["Ba", "Ba", "Li", "Li", "Tb", "Tb", "S", "S", "S", "S", "S", "S"], "frac_coords": [[0.245, 0.755, 0.750], [0.755, 0.245, 0.250], [0.029, 0.971, 0.250], [0.971, 0.029, 0.750], [0.500, 0.500, 0.000], [0.500, 0.500, 0.500], [0.131, 0.869, 0.061], [0.131, 0.869, 0.439], [0.433, 0.567, 0.250], [0.567, 0.433, 0.750], [0.869, 0.131, 0.561], [0.869, 0.131, 0.939]], "m_tot_mub_per_cell": 0.004, "sg": "Cmcm"}

=====

It is 2 that is most stable; the runner-up trails by 19 meV per atom.